(1)
The following is a DFT calculation (GGA-PBE) of crystalline Sm8Si5H at its relaxed geometry.

The crystal system is tetragonal. The value obtained for the calculated volume is 351 Å³/f.u. The calculated density comes out at 6.353 g cm⁻³. For the calculated total energy, the calculation gives -5.4203 eV/atom.

Cell and atoms, written as CIF:
```
data_Sm8Si5H
_chemical_formula_sum 'Sm16 Si10 H2'
_space_group_name_H-M_alt 'I -4'
_space_group_IT_number 82
_space_group_name_Hall 'I -4'
_cell_length_a 8.749
_cell_length_b 8.749
_cell_length_c 9.181
_cell_angle_alpha 90.00
_cell_angle_beta 90.00
_cell_angle_gamma 90.00
loop_
_atom_site_label
_atom_site_fract_x
_atom_site_fract_y
_atom_site_fract_z
Sm1 0.062 0.197 0.302
Sm2 0.078 0.311 0.925
Si1 0.000 0.000 0.000
Si2 0.125 0.249 0.617
H1 0.000 0.500 0.250
```

***

(2)
The following is a DFT calculation (GGA-PBE) of crystalline AcSb at its relaxed geometry.

The energy relative to the elements, uncorrected is -960 meV/atom. For the relative energy among the computed polymorphs, the calculation gives 258 meV per atom. The crystal system is cubic. The value obtained for the calculated volume is 69 Å³/f.u. The calculated density comes out at 8.428 g cm⁻³.

Cell and atoms, written as CIF:
```
data_AcSb
_chemical_formula_sum 'Ac1 Sb1'
_space_group_name_H-M_alt 'P m -3 m'
_space_group_IT_number 221
_space_group_name_Hall '-P 4 2 3'
_cell_length_a 4.096
_cell_length_b 4.096
_cell_length_c 4.096
_cell_angle_alpha 90.00
_cell_angle_beta 90.00
_cell_angle_gamma 90.00
loop_
_atom_site_label
_atom_site_fract_x
_atom_site_fract_y
_atom_site_fract_z
Ac1 0.000 0.000 0.000
Sb1 0.500 0.500 0.500
```